*a*
First-principles (PBE) data for an optimized crystal structure of KHfTe2I, as listed in Alexandria via LeMat-Bulk.

Values from the calculation:
For the magnetization, the calculation gives 0.00 μB/atom. Its crystal system is tetragonal.

Cell: 5.887 5.887 5.795 Å, 90.00 90.00 90.00°
Positions (direct):
1 K 0.000 0.000 0.000
2 Hf 0.500 0.500 0.500
3 Te 0.000 0.500 0.000
4 Te 0.500 0.000 0.000
5 I 0.000 0.000 0.500


*b*
First-principles (PBE) data for an optimized crystal structure of KHfTe2I, as listed in Alexandria via LeMat-Bulk.

Values from the calculation:
For the magnetization, the calculation gives 0.00 μB/atom. Its crystal system is tetragonal.

Cell: 5.623 5.623 5.906 Å, 90.00 90.00 90.00°
Positions (direct):
1 K 0.000 0.000 0.000
2 Hf 0.500 0.500 0.500
3 Te 0.000 0.500 0.500
4 Te 0.500 0.000 0.500
5 I 0.500 0.500 0.000


It comes down to *b*, which is 176.5 kJ/mol of atoms more stable than the next structure.


*a*
First-principles (PBE) data for an optimized crystal structure of La2HfI, as listed in Alexandria via LeMat-Bulk.

Values from the calculation:
For the magnetization, the calculation gives 0.22 μB/atom. Its crystal system is trigonal.

Cell: 11.623 11.623 11.623 Å, 17.67 17.67 17.67°
Positions (direct):
1 La 0.090 0.090 0.090
2 La 0.910 0.910 0.910
3 Hf 0.000 0.000 0.000
4 I 0.500 0.500 0.500


*b*
First-principles (PBE) data for an optimized crystal structure of La2HfI, as listed in Alexandria via LeMat-Bulk.

Values from the calculation:
For the magnetization, the calculation gives 0.59 μB/atom. Its crystal system is cubic.

Cell: 5.612 5.612 5.612 Å, 60.00 60.00 60.00°
Positions (direct):
1 La 0.250 0.250 0.250
2 La 0.750 0.750 0.750
3 Hf 0.000 0.000 0.000
4 I 0.500 0.500 0.500


*c*
First-principles (PBE) data for an optimized crystal structure of La2HfI, as listed in Alexandria via LeMat-Bulk.

Values from the calculation:
For the magnetization, the calculation gives 0.00 μB/atom. Its crystal system is tetragonal.

Cell: 7.007 7.007 7.007 Å, 103.19 103.19 122.93°
Positions (direct):
1 La 0.125 0.625 0.000
2 La 0.375 0.375 0.500
3 La 0.625 0.125 0.000
4 La 0.875 0.875 0.500
5 Hf 0.000 0.000 0.000
6 Hf 0.750 0.250 0.500
7 I 0.250 0.750 0.500
8 I 0.500 0.500 0.000


It comes down to *a*, which is 9.3 kJ/mol of atoms more stable than the next structure.


*a*
First-principles (PBE) data for an optimized crystal structure of LaHfI3, as listed in Alexandria via LeMat-Bulk.

Values from the calculation:
For the magnetization, the calculation gives 0.00 μB/atom. Its crystal system is cubic.

Cell: 5.585 5.585 5.585 Å, 90.00 90.00 90.00°
Positions (direct):
1 La 0.000 0.000 0.000
2 Hf 0.500 0.500 0.500
3 I 0.000 0.500 0.500
4 I 0.500 0.000 0.500
5 I 0.500 0.500 0.000


*b*
First-principles (PBE) data for an optimized crystal structure of LaHfI3, as listed in Alexandria via LeMat-Bulk.

Values from the calculation:
For the magnetization, the calculation gives 0.39 μB/atom. Its crystal system is cubic.

Cell: 6.262 6.262 6.262 Å, 90.00 90.00 90.00°
Positions (direct):
1 La 0.000 0.000 0.000
2 Hf 0.500 0.500 0.500
3 I 0.000 0.000 0.500
4 I 0.000 0.500 0.000
5 I 0.500 0.000 0.000


It comes down to *a*, which is 17.2 kJ/mol of atoms more stable than the next structure.


*a*
First-principles (PBE) data for an optimized crystal structure of LaHfTe2I, as listed in Alexandria via LeMat-Bulk.

Values from the calculation:
For the magnetization, the calculation gives 0.09 μB/atom. Its crystal system is tetragonal.

Cell: 5.575 5.575 5.497 Å, 90.00 90.00 90.00°
Positions (direct):
1 La 0.000 0.000 0.000
2 Hf 0.500 0.500 0.500
3 Te 0.000 0.500 0.500
4 Te 0.500 0.000 0.500
5 I 0.500 0.500 0.000


*b*
First-principles (PBE) data for an optimized crystal structure of LaHfTe2I, as listed in Alexandria via LeMat-Bulk.

Values from the calculation:
For the magnetization, the calculation gives 0.21 μB/atom. Its crystal system is tetragonal.

Cell: 6.131 6.131 6.021 Å, 90.00 90.00 90.00°
Positions (direct):
1 La 0.000 0.000 0.000
2 Hf 0.500 0.500 0.500
3 Te 0.000 0.500 0.000
4 Te 0.500 0.000 0.000
5 I 0.000 0.000 0.500


It comes down to *a*, which is 75.1 kJ/mol of atoms more stable than the next structure.